Arrangement i

Here is crystalline Li2YPd2 at its relaxed geometry from Alexandria. Energies are from PBE-GGA.

The structure in CIF format:
```
data_Li2YPd2
_chemical_formula_sum 'Li4 Y2 Pd4'
_symmetry_space_group_name_H-M 'P 4/m b m'
_symmetry_Int_Tables_number 127
_symmetry_space_group_name_Hall '-P 4 2ab'
_cell_length_a 7.3124
_cell_length_b 7.3124
_cell_length_c 3.1239
_cell_angle_alpha 90.00
_cell_angle_beta 90.00
_cell_angle_gamma 90.00
loop_
_atom_site_label
_atom_site_fract_x
_atom_site_fract_y
_atom_site_fract_z
Li1 0.1125 0.3875 0.0000
Y1 0.0000 0.0000 0.0000
Pd1 0.1830 0.6830 0.5000
```

Arrangement ii

Here is crystalline Li2YPd2 at its relaxed geometry from Alexandria. Energies are from PBE-GGA.

The structure in CIF format:
```
data_Li2YPd2
_chemical_formula_sum 'Li8 Y4 Pd8'
_symmetry_space_group_name_H-M 'C m c 21'
_symmetry_Int_Tables_number 36
_symmetry_space_group_name_Hall 'C 2c -2'
_cell_length_a 3.9213
_cell_length_b 12.8522
_cell_length_c 7.2257
_cell_angle_alpha 90.00
_cell_angle_beta 90.00
_cell_angle_gamma 90.00
loop_
_atom_site_label
_atom_site_fract_x
_atom_site_fract_y
_atom_site_fract_z
Li1 0.0000 0.1394 0.0000
Li2 0.0000 0.3311 0.7189
Y1 0.0000 0.4024 0.1280
Pd1 0.0000 0.0310 0.3221
Pd2 0.0000 0.2352 0.4083
```

Arrangement iii

Here is crystalline Li2YPd2 at its relaxed geometry from Alexandria. Energies are from PBE-GGA.

The structure in CIF format:
```
data_Li2YPd2
_chemical_formula_sum 'Li2 Y1 Pd2'
_symmetry_space_group_name_H-M 'P 4/m m m'
_symmetry_Int_Tables_number 123
_symmetry_space_group_name_Hall '-P 4 2'
_cell_length_a 3.8812
_cell_length_b 3.8812
_cell_length_c 5.9704
_cell_angle_alpha 90.00
_cell_angle_beta 90.00
_cell_angle_gamma 90.00
loop_
_atom_site_label
_atom_site_fract_x
_atom_site_fract_y
_atom_site_fract_z
Li1 0.0000 0.5000 0.0000
Y1 0.0000 0.0000 0.5000
Pd1 0.5000 0.5000 0.2749
```

Energy comparison, zero being the most stable, in meV per atom: arrangement i 82; arrangement ii 55; arrangement iii 0.

Arrangement i

Here is crystalline Li2YPd2 at its relaxed geometry from Alexandria. Energies are from PBE-GGA.

The structure in CIF format:
```
data_Li2YPd2
_chemical_formula_sum 'Li4 Y2 Pd4'
_symmetry_space_group_name_H-M 'P 4/m b m'
_symmetry_Int_Tables_number 127
_symmetry_space_group_name_Hall '-P 4 2ab'
_cell_length_a 7.5362
_cell_length_b 7.5362
_cell_length_c 3.0464
_cell_angle_alpha 90.00
_cell_angle_beta 90.00
_cell_angle_gamma 90.00
loop_
_atom_site_label
_atom_site_fract_x
_atom_site_fract_y
_atom_site_fract_z
Li1 0.1287 0.3713 0.0000
Y1 0.0000 0.0000 0.5000
Pd1 0.1632 0.6632 0.5000
```

Arrangement ii

Here is crystalline Li2YPd2 at its relaxed geometry from Alexandria. Energies are from PBE-GGA.

The structure in CIF format:
```
data_Li2YPd2
_chemical_formula_sum 'Li4 Y2 Pd4'
_symmetry_space_group_name_H-M 'I 4/m m m'
_symmetry_Int_Tables_number 139
_symmetry_space_group_name_Hall '-I 4 2'
_cell_length_a 3.7652
_cell_length_b 3.7652
_cell_length_c 12.9612
_cell_angle_alpha 90.00
_cell_angle_beta 90.00
_cell_angle_gamma 90.00
loop_
_atom_site_label
_atom_site_fract_x
_atom_site_fract_y
_atom_site_fract_z
Li1 0.0000 0.5000 0.2500
Y1 0.0000 0.0000 0.0000
Pd1 0.0000 0.0000 0.3940
```

Energy comparison, zero being the most stable, in meV per atom: arrangement i 101; arrangement ii 0.

Arrangement i

Here is crystalline LiY2Pd5 at its relaxed geometry from Alexandria. Energies are from PBE-GGA.

The structure in CIF format:
```
data_LiY2Pd5
_chemical_formula_sum 'Li2 Y4 Pd10'
_symmetry_space_group_name_H-M 'I 4/m m m'
_symmetry_Int_Tables_number 139
_symmetry_space_group_name_Hall '-I 4 2'
_cell_length_a 4.9575
_cell_length_b 4.9575
_cell_length_c 11.8804
_cell_angle_alpha 90.00
_cell_angle_beta 90.00
_cell_angle_gamma 90.00
loop_
_atom_site_label
_atom_site_fract_x
_atom_site_fract_y
_atom_site_fract_z
Li1 0.0000 0.0000 0.0000
Y1 0.0000 0.0000 0.2561
Pd1 0.0000 0.0000 0.5000
Pd2 0.0000 0.5000 0.1178
```

Arrangement ii

Here is crystalline LiY2Pd5 at its relaxed geometry from Alexandria. Energies are from PBE-GGA.

The structure in CIF format:
```
data_LiY2Pd5
_chemical_formula_sum 'Li2 Y4 Pd10'
_symmetry_space_group_name_H-M 'I 4 m m'
_symmetry_Int_Tables_number 107
_symmetry_space_group_name_Hall 'I 4 -2'
_cell_length_a 5.9512
_cell_length_b 5.9512
_cell_length_c 7.9542
_cell_angle_alpha 90.00
_cell_angle_beta 90.00
_cell_angle_gamma 90.00
loop_
_atom_site_label
_atom_site_fract_x
_atom_site_fract_y
_atom_site_fract_z
Li1 0.0000 0.0000 0.0000
Y1 0.0000 0.5000 0.0013
Pd1 0.0000 0.0000 0.5015
Pd2 0.2498 0.2498 0.2513
```

Energy comparison, zero being the most stable, in meV per atom: arrangement i 139; arrangement ii 0.

Arrangement i

Here is crystalline LiYPd3 at its relaxed geometry from Alexandria. Energies are from PBE-GGA.

The structure in CIF format:
```
data_LiYPd3
_chemical_formula_sum 'Li1 Y1 Pd3'
_symmetry_space_group_name_H-M 'P m -3 m'
_symmetry_Int_Tables_number 221
_symmetry_space_group_name_Hall '-P 4 2 3'
_cell_length_a 5.1044
_cell_length_b 5.1044
_cell_length_c 5.1044
_cell_angle_alpha 90.00
_cell_angle_beta 90.00
_cell_angle_gamma 90.00
loop_
_atom_site_label
_atom_site_fract_x
_atom_site_fract_y
_atom_site_fract_z
Li1 0.0000 0.0000 0.0000
Y1 0.5000 0.5000 0.5000
Pd1 0.0000 0.5000 0.5000
```

Arrangement ii

Here is crystalline LiYPd3 at its relaxed geometry from Alexandria. Energies are from PBE-GGA.

The structure in CIF format:
```
data_LiYPd3
_chemical_formula_sum 'Li1 Y1 Pd3'
_symmetry_space_group_name_H-M 'P m -3 m'
_symmetry_Int_Tables_number 221
_symmetry_space_group_name_Hall '-P 4 2 3'
_cell_length_a 4.3927
_cell_length_b 4.3927
_cell_length_c 4.3927
_cell_angle_alpha 90.00
_cell_angle_beta 90.00
_cell_angle_gamma 90.00
loop_
_atom_site_label
_atom_site_fract_x
_atom_site_fract_y
_atom_site_fract_z
Li1 0.0000 0.0000 0.0000
Y1 0.5000 0.5000 0.5000
Pd1 0.0000 0.0000 0.5000
```

Energy comparison, zero being the most stable, in meV per atom: arrangement i 865; arrangement ii 0.

Arrangement i

Here is crystalline Li2Zn5Pd2 at its relaxed geometry from Alexandria. Energies are from PBE-GGA.

The structure in CIF format:
```
data_Li2Zn5Pd2
_chemical_formula_sum 'Li2 Zn5 Pd2'
_symmetry_space_group_name_H-M 'P -1'
_symmetry_Int_Tables_number 2
_symmetry_space_group_name_Hall '-P 1'
_cell_length_a 4.2351
_cell_length_b 4.2763
_cell_length_c 9.2912
_cell_angle_alpha 77.28
_cell_angle_beta 76.93
_cell_angle_gamma 61.80
loop_
_atom_site_label
_atom_site_fract_x
_atom_site_fract_y
_atom_site_fract_z
Li1 0.2050 0.2178 0.4061
Zn1 0.0000 0.0000 0.0000
Zn2 0.0874 0.0781 0.7127
Zn3 0.3970 0.3914 0.7939
Pd1 0.3013 0.3033 0.1036
```

Arrangement ii

Here is crystalline Li2Zn5Pd2 at its relaxed geometry from Alexandria. Energies are from PBE-GGA.

The structure in CIF format:
```
data_Li2Zn5Pd2
_chemical_formula_sum 'Li8 Zn20 Pd8'
_symmetry_space_group_name_H-M 'C 1 2/m 1'
_symmetry_Int_Tables_number 12
_symmetry_space_group_name_Hall '-C 2y'
_cell_length_a 13.4202
_cell_length_b 8.9738
_cell_length_c 4.6417
_cell_angle_alpha 90.00
_cell_angle_beta 107.49
_cell_angle_gamma 90.00
loop_
_atom_site_label
_atom_site_fract_x
_atom_site_fract_y
_atom_site_fract_z
Li1 0.0000 0.0000 0.0000
Li2 0.0000 0.5000 0.5000
Li3 0.2500 0.2500 0.0000
Zn1 0.0523 0.2493 0.7983
Zn2 0.1484 0.2419 0.3929
Zn3 0.2344 0.5000 0.6820
Pd1 0.1190 0.5000 0.0840
Pd2 0.1554 0.0000 0.7288
```

Energy comparison, zero being the most stable, in meV per atom: arrangement i 0; arrangement ii 27.